Entry 1:
This record from Alexandria via LeMat-Bulk describes a relaxed structure of MnHgPd2. The functional is PBE.

## Properties
- density (g cm⁻³) = 11.7
- total moment (μB per formula unit) = 4.3
- crystal system = cubic
- energy of formation (eV per atom) = -0.07

abc: 6.4370 6.4370 6.4370
angles: 90.00 90.00 90.00
Closest atoms and distances in Å follow each position.
Element x y z (fractional)
Mn  0.0000  0.0000  0.0000  4 Pd 2.79, 4 Hg 2.79
Mn  0.0000  0.5000  0.5000  4 Hg 2.79, 4 Pd 2.79
Mn  0.5000  0.0000  0.5000  4 Hg 2.79, 4 Pd 2.79
Mn  0.5000  0.5000  0.0000  4 Hg 2.79, 4 Pd 2.79
Hg  0.2500  0.2500  0.2500  4 Mn 2.79, 4 Pd 2.79
Hg  0.2500  0.7500  0.7500  4 Mn 2.79, 4 Pd 2.79
Hg  0.7500  0.2500  0.7500  4 Mn 2.79, 4 Pd 2.79
Hg  0.7500  0.7500  0.2500  4 Mn 2.79, 4 Pd 2.79
Pd  0.0000  0.0000  0.5000  4 Hg 2.79, 4 Pd 2.79
Pd  0.0000  0.5000  0.0000  4 Hg 2.79, 4 Pd 2.79
Pd  0.2500  0.2500  0.7500  4 Mn 2.79, 4 Pd 2.79
Pd  0.2500  0.7500  0.2500  4 Mn 2.79, 4 Pd 2.79
Pd  0.5000  0.0000  0.0000  4 Hg 2.79, 4 Pd 2.79
Pd  0.5000  0.5000  0.5000  4 Hg 2.79, 4 Pd 2.79
Pd  0.7500  0.2500  0.2500  4 Mn 2.79, 4 Pd 2.79
Pd  0.7500  0.7500  0.7500  4 Mn 2.79, 4 Pd 2.79

---

Entry 2:
This record from Alexandria via LeMat-Bulk describes a relaxed structure of K2Pu2TaS6. The functional is PBE.

## Properties
- density (g cm⁻³) = 5.3
- formation energy from raw total energies (eV per formula unit) = -15.50
- total moment (μB per formula unit) = 11.0
- crystal system = monoclinic

abc: 6.7092 6.7092 7.8739
angles: 98.50 98.50 119.32
Closest atoms and distances in Å follow each position.
Element x y z (fractional)
K  0.1710  0.8290  0.0000  6 S 3.18-3.30
K  0.8290  0.1710  0.0000  6 S 3.18-3.30
Pu  0.3337  0.6663  0.5000  6 S 2.75-2.76
Pu  0.6663  0.3337  0.5000  6 S 2.75-2.76
Ta  0.0000  0.0000  0.5000  6 S 2.52
S  0.0665  0.3736  0.6931  1 Ta 2.52, 2 Pu 2.75-2.76
S  0.2380  0.2380  0.3074  1 Ta 2.52, 2 Pu 2.75
S  0.3736  0.0665  0.6931  1 Ta 2.52, 2 Pu 2.75-2.76
S  0.6264  0.9335  0.3069  1 Ta 2.52, 2 Pu 2.75-2.76
S  0.7620  0.7620  0.6926  1 Ta 2.52, 2 Pu 2.75
S  0.9335  0.6264  0.3069  1 Ta 2.52, 2 Pu 2.75-2.76

---

Entry 3:
This record from Alexandria via LeMat-Bulk describes a relaxed structure of Dy3HoSc2. The functional is PBE.

## Properties
- offset from the most stable computed form (eV per formula unit) = 0.89
- density (g cm⁻³) = 6.6
- total moment (μB per formula unit) = 0.0
- crystal system = orthorhombic
- energy of formation (eV per atom) = 0.30

abc: 8.6250 8.6250 5.4273
angles: 90.00 90.00 68.07
Closest atoms and distances in Å follow each position.
Element x y z (fractional)
Dy  0.0938  0.9062  0.7500  3 Ho 3.24-3.59, 4 Dy 3.26-3.49, 2 Sc 3.37
Dy  0.1113  0.3749  0.2500  2 Sc 3.07-3.29
Dy  0.3749  0.1113  0.7500  2 Sc 3.07-3.29
Dy  0.6251  0.8887  0.2500  2 Sc 3.07-3.29
Dy  0.8887  0.6251  0.7500  2 Sc 3.07-3.29
Dy  0.9062  0.0938  0.2500  3 Ho 3.24-3.59, 4 Dy 3.26-3.49, 2 Sc 3.37
Ho  0.2780  0.7220  0.2500  3 Dy 3.24-3.59, 6 Sc 3.34-3.41
Ho  0.7220  0.2780  0.7500  3 Dy 3.24-3.59, 6 Sc 3.34-3.41
Sc  0.2998  0.4887  0.7500  3 Sc 3.02-3.27, 3 Dy 3.07-3.37, 2 Ho 3.34
Sc  0.4887  0.2998  0.2500  3 Sc 3.02-3.27, 3 Dy 3.07-3.37, 2 Ho 3.34
Sc  0.5113  0.7002  0.7500  3 Sc 3.02-3.27, 3 Dy 3.07-3.37, 2 Ho 3.34
Sc  0.7002  0.5113  0.2500  3 Sc 3.02-3.27, 3 Dy 3.07-3.37, 2 Ho 3.34

---

Entry 4:
This record from Alexandria via LeMat-Bulk describes a relaxed structure of K4Y3TiSe8. The functional is PBE.

## Properties
- density (g cm⁻³) = 4.0
- formation energy from raw total energies (eV per formula unit) = -25.54
- total moment (μB per formula unit) = 1.0
- crystal system = trigonal

abc: 9.0324 9.0324 9.0324
angles: 54.49 54.49 54.49
Closest atoms and distances in Å follow each position.
Element x y z (fractional)
K  0.0000  0.0000  0.0000  6 Se 3.41
K  0.0000  0.5000  0.5000  6 Se 3.27-3.28
K  0.5000  0.0000  0.5000  6 Se 3.27-3.28
K  0.5000  0.5000  0.0000  6 Se 3.27-3.28
Y  0.0000  0.0000  0.5000  6 Se 2.87-2.89
Y  0.0000  0.5000  0.0000  6 Se 2.87-2.89
Y  0.5000  0.0000  0.0000  6 Se 2.87-2.89
Ti  0.5000  0.5000  0.5000  6 Se 2.73
Se  0.2361  0.2361  0.2361  3 Y 2.87
Se  0.2507  0.7242  0.7242  1 Ti 2.73, 2 Y 2.89
Se  0.2758  0.2758  0.7493  1 Ti 2.73, 2 Y 2.89
Se  0.2758  0.7493  0.2758  1 Ti 2.73, 2 Y 2.89
Se  0.7242  0.2507  0.7242  1 Ti 2.73, 2 Y 2.89
Se  0.7242  0.7242  0.2507  1 Ti 2.73, 2 Y 2.89
Se  0.7493  0.2758  0.2758  1 Ti 2.73, 2 Y 2.89
Se  0.7639  0.7639  0.7639  3 Y 2.87

---

Entry 5:
This record from Alexandria via LeMat-Bulk describes a relaxed structure of YHo2Tm2Sc. The functional is PBE.

## Properties
- density (g cm⁻³) = 7.5
- total moment (μB per formula unit) = 0.0
- crystal system = orthorhombic
- energy of formation (eV per atom) = 0.10

abc: 6.8682 9.4819 5.4807
angles: 90.00 90.00 90.00
Closest atoms and distances in Å follow each position.
Element x y z (fractional)
Y  0.0000  0.0000  0.0000  2 Sc 3.43, 6 Ho 3.59-3.61, 6 Tm 3.59-3.61
Y  0.5000  0.5000  0.5000  2 Sc 3.43, 6 Ho 3.59-3.61, 6 Tm 3.59-3.61
Ho  0.2471  0.3333  0.0000  5 Tm 3.16-3.47
Ho  0.2529  0.8333  0.5000  5 Tm 3.16-3.47
Ho  0.7471  0.1667  0.5000  5 Tm 3.16-3.47
Ho  0.7529  0.6667  0.0000  5 Tm 3.16-3.47
Tm  0.2480  0.6665  0.0000  5 Ho 3.16-3.47
Tm  0.2520  0.1665  0.5000  5 Ho 3.16-3.47
Tm  0.7480  0.8335  0.5000  5 Ho 3.16-3.47
Tm  0.7520  0.3335  0.0000  5 Ho 3.16-3.47
Sc  0.0000  0.5000  0.5000  2 Y 3.43, 6 Ho 3.59-3.61, 6 Tm 3.59-3.60
Sc  0.5000  0.0000  0.0000  2 Y 3.43, 6 Ho 3.59-3.61, 6 Tm 3.59-3.60

---

Entry 6:
This record from Alexandria via LeMat-Bulk describes a relaxed structure of SbMo. The functional is PBE.

## Properties
- density (g cm⁻³) = 7.9
- formation energy from raw total energies (eV per formula unit) = 0.45
- total moment (μB per formula unit) = 0.0
- crystal system = trigonal

abc: 3.1238 3.1238 32.6924
angles: 90.00 90.00 120.00
Closest atoms and distances in Å follow each position.
Element x y z (fractional)
Sb  0.0000  0.0000  0.0995  3 Mo 2.90, 6 Sb 3.12
Sb  0.0000  0.0000  0.9005  3 Mo 2.90, 6 Sb 3.12
Sb  0.3333  0.6667  0.5671  3 Mo 2.90, 6 Sb 3.12
Sb  0.3333  0.6667  0.7662  3 Mo 2.90, 6 Sb 3.12
Sb  0.6667  0.3333  0.2338  3 Mo 2.90, 6 Sb 3.12
Sb  0.6667  0.3333  0.4329  3 Mo 2.90, 6 Sb 3.12
Mo  0.0000  0.0000  0.3634  3 Mo 2.67, 3 Sb 2.90
Mo  0.0000  0.0000  0.6366  3 Mo 2.67, 3 Sb 2.90
Mo  0.3333  0.6667  0.0300  3 Mo 2.67, 3 Sb 2.90
Mo  0.3333  0.6667  0.3033  3 Mo 2.67, 3 Sb 2.90
Mo  0.6667  0.3333  0.6967  3 Mo 2.67, 3 Sb 2.90
Mo  0.6667  0.3333  0.9700  3 Mo 2.67, 3 Sb 2.90

---

Entry 7:
This record from Alexandria via LeMat-Bulk describes a relaxed structure of Tb9Pm2Ho. The functional is PBE.

## Properties
- offset from the most stable computed form (eV per formula unit) = 0.00
- density (g cm⁻³) = 8.1
- total moment (μB per formula unit) = 0.0
- crystal system = tetragonal
- energy of formation (eV per atom) = 0.02

abc: 5.0505 5.0505 15.1528
angles: 90.00 90.00 90.00
Closest atoms and distances in Å follow each position.
Element x y z (fractional)
Tb  0.0000  0.0000  0.0000  8 Tb 3.55, 4 Ho 3.57
Tb  0.0000  0.0000  0.3322  4 Pm 3.57, 8 Tb 3.58
Tb  0.0000  0.0000  0.6678  4 Pm 3.57, 8 Tb 3.58
Tb  0.0000  0.5000  0.1649  2 Ho 3.55, 8 Tb 3.55-3.58, 2 Pm 3.58
Tb  0.0000  0.5000  0.5000  8 Tb 3.57-3.58, 4 Pm 3.58
Tb  0.0000  0.5000  0.8351  2 Ho 3.55, 8 Tb 3.55-3.58, 2 Pm 3.58
Tb  0.5000  0.0000  0.1649  2 Ho 3.55, 8 Tb 3.55-3.58, 2 Pm 3.58
Tb  0.5000  0.0000  0.5000  8 Tb 3.57-3.58, 4 Pm 3.58
Tb  0.5000  0.0000  0.8351  2 Ho 3.55, 8 Tb 3.55-3.58, 2 Pm 3.58
Pm  0.5000  0.5000  0.3325  12 Tb 3.57-3.58
Pm  0.5000  0.5000  0.6675  12 Tb 3.57-3.58
Ho  0.5000  0.5000  0.0000  12 Tb 3.55-3.57

---

Entry 8:
This record from Alexandria via LeMat-Bulk describes a relaxed structure of Ta2InPPd. The functional is PBE.

## Properties
- density (g cm⁻³) = 8.7
- total moment (μB per formula unit) = 1.4
- crystal system = tetragonal
- energy of formation (eV per atom) = 1.28

abc: 4.9010 4.9010 4.9006
angles: 90.00 90.00 90.00
Closest atoms and distances in Å follow each position.
Element x y z (fractional)
Ta  0.0000  0.5000  0.0000  2 Pd 2.45
Ta  0.5000  0.0000  0.0000  2 Pd 2.45
In  0.0000  0.0000  0.5000  2 Pd 2.45
P  0.5000  0.5000  0.5000  8 Ta 3.47, 4 In 3.47
Pd  0.0000  0.0000  0.0000  2 In 2.45, 4 Ta 2.45

---

Entry 9:
This record from Alexandria via LeMat-Bulk describes a relaxed structure of ScGaAsSe2. The functional is PBE.

## Properties
- offset from the most stable computed form (eV per formula unit) = 0.00
- density (g cm⁻³) = 4.2
- formation energy from raw total energies (eV per formula unit) = -1.25
- total moment (μB per formula unit) = 0.0
- crystal system = tetragonal

abc: 5.1808 5.1808 5.1792
angles: 90.00 90.00 90.00
Closest atoms and distances in Å follow each position.
Element x y z (fractional)
Sc  0.0000  0.0000  0.0000  2 As 2.59, 4 Se 2.59
Ga  0.5000  0.5000  0.5000  8 Se 3.66, 4 As 3.66
As  0.0000  0.0000  0.5000  2 Sc 2.59
Se  0.0000  0.5000  0.0000  2 Sc 2.59
Se  0.5000  0.0000  0.0000  2 Sc 2.59

---

Entry 10:
This record from Alexandria via LeMat-Bulk describes a relaxed structure of SiTc2Pb. The functional is PBE.

## Properties
- offset from the most stable computed form (eV per formula unit) = 1.77
- density (g cm⁻³) = 10.5
- formation energy from raw total energies (eV per formula unit) = 2.46
- total moment (μB per formula unit) = 0.0
- crystal system = orthorhombic

abc: 3.1667 4.2089 5.1402
angles: 90.00 90.00 90.00
Closest atoms and distances in Å follow each position.
Element x y z (fractional)
Si  0.0000  0.0000  0.0000  4 Tc 2.63
Tc  0.0000  0.5000  0.5000  4 Pb 2.63
Tc  0.5000  0.5000  0.0000  4 Si 2.63
Pb  0.5000  0.0000  0.5000  4 Tc 2.63

---

Entry 11:
This record from Alexandria via LeMat-Bulk describes a relaxed structure of ZrOs3Pb. The functional is PBE.

## Properties
- offset from the most stable computed form (eV per formula unit) = 1.17
- density (g cm⁻³) = 12.6
- total moment (μB per formula unit) = 0.0
- crystal system = cubic
- energy of formation (eV per atom) = 2.44

abc: 4.8615 4.8615 4.8615
angles: 90.00 90.00 90.00
Closest atoms and distances in Å follow each position.
Element x y z (fractional)
Zr  0.0000  0.0000  0.0000  12 Os 3.44
Os  0.0000  0.5000  0.5000  2 Pb 2.43
Os  0.5000  0.0000  0.5000  2 Pb 2.43
Os  0.5000  0.5000  0.0000  2 Pb 2.43
Pb  0.5000  0.5000  0.5000  6 Os 2.43

---

Entry 12:
This record from Alexandria via LeMat-Bulk describes a relaxed structure of Cs12Hg5Pt2. The functional is PBE.

## Properties
- density (g cm⁻³) = 4.2
- total moment (μB per formula unit) = 0.0
- crystal system = monoclinic
- energy of formation (eV per atom) = -0.09

abc: 12.3481 12.3481 11.1514
angles: 92.76 92.76 43.66
Closest atoms and distances in Å follow each position.
Element x y z (fractional)
Cs  0.0193  0.0193  0.3287  1 Hg 3.67, 2 Pt 3.77, 1 Cs 3.97
Cs  0.0830  0.6021  0.4068  2 Hg 3.61-3.89, 1 Pt 3.84
Cs  0.0983  0.5887  0.8878  3 Hg 3.86-4.11
Cs  0.3979  0.9170  0.5932  2 Hg 3.61-3.89, 1 Pt 3.84
Cs  0.4113  0.9017  0.1122  3 Hg 3.86-4.11
Cs  0.4620  0.4620  0.2082  1 Hg 3.48, 2 Pt 3.60
Cs  0.5380  0.5380  0.7918  1 Hg 3.48, 2 Pt 3.60
Cs  0.5887  0.0983  0.8878  3 Hg 3.86-4.11
Cs  0.6021  0.0830  0.4068  2 Hg 3.61-3.89, 1 Pt 3.84
Cs  0.9017  0.4113  0.1122  3 Hg 3.86-4.11
Cs  0.9170  0.3979  0.5932  2 Hg 3.61-3.89, 1 Pt 3.84
Cs  0.9807  0.9807  0.6713  1 Hg 3.67, 2 Pt 3.77, 1 Cs 3.97
Hg  0.0000  0.0000  0.0000  2 Cs 3.67
Hg  0.2900  0.2900  0.1473  7 Cs 3.86-3.97
Hg  0.4080  0.4080  0.6164  2 Pt 2.89
Hg  0.5920  0.5920  0.3836  2 Pt 2.89
Hg  0.7100  0.7100  0.8527  7 Cs 3.86-3.97
Pt  0.3494  0.6506  0.5000  1 Pt 2.77, 2 Hg 2.89
Pt  0.6506  0.3494  0.5000  1 Pt 2.77, 2 Hg 2.89